[1]
DFT (PBE) results for a relaxed ZnMo2IrI crystal.

As for the raw formation energy: 2.239 eV per atom. As for the space group: P4/mmm (123).

POSCAR file:
```
ZnMo2IrI
1.0
-4.372 1.452 0.706
-1.393 -2.162 -4.178
-0.925 -3.924 2.339
I Mo Ir Zn
1 2 1 1
Cartesian
-0.696 -1.081 -2.089 I
-0.463 -1.962 1.170 Mo
-2.186 0.726 0.353 Mo
-3.345 -2.317 -0.566 Ir
0.000 0.000 0.000 Zn
```

[2]
DFT (PBE) results for a relaxed MnNb2AlC crystal.

As for the space group: P4/mmm (123). The formation energy is -0.19 eV/atom.

POSCAR file:
```
MnNb2AlC
1.0
4.357 0.000 0.000
0.000 4.357 0.000
0.000 0.000 3.801
C Nb Mn Al
1 2 1 1
Cartesian
0.000 0.000 0.000 C
0.000 2.178 0.000 Nb
2.178 0.000 0.000 Nb
0.000 0.000 1.901 Mn
2.178 2.178 1.901 Al
```

[3]
DFT (PBE) results for a relaxed Cs8Rb6Bi crystal.

As for the space group: R-3 (148). The formation energy is -0.07 eV/atom.

POSCAR file:
```
Cs8Rb6Bi
1.0
1.202 2.472 11.476
4.032 -9.778 5.233
11.515 1.647 1.989
Cs Rb Bi
8 6 1
Cartesian
13.962 -4.780 6.795 Cs
7.298 -8.032 5.699 Cs
10.725 1.880 5.629 Cs
12.502 -4.225 13.957 Cs
4.247 -1.435 4.741 Cs
6.024 -7.540 13.069 Cs
9.451 2.372 13.000 Cs
2.787 -0.880 11.904 Cs
9.023 -3.167 5.815 Rb
9.836 -6.082 9.907 Rb
11.607 -1.282 9.774 Rb
5.142 -4.378 8.924 Rb
6.913 0.422 8.792 Rb
7.726 -2.493 12.883 Rb
0.000 0.000 0.000 Bi
```

[4]
DFT (PBE) results for a relaxed TmZn2Ag8 crystal.

As for the energy above the most stable polymorph in this dataset: 0 meV per atom. As for the space group: C2/m (12). The formation energy is -0.09 eV/atom.

POSCAR file:
```
TmZn2Ag8
1.0
4.125 0.000 -1.186
-0.690 6.245 -2.399
-0.054 0.294 7.580
Tm Zn Ag
1 2 8
Cartesian
2.063 0.000 -0.593 Tm
0.468 4.177 1.629 Zn
2.913 2.362 2.366 Zn
2.140 3.004 -0.322 Ag
1.207 0.678 4.199 Ag
0.436 1.424 1.515 Ag
-0.304 4.565 -1.057 Ag
2.946 5.115 2.480 Ag
2.175 5.861 -0.203 Ag
1.241 3.535 4.317 Ag
3.685 1.974 5.052 Ag
```

[5]
DFT (PBE) results for a relaxed Na2CaNb4Bi2O15 crystal.

As for the raw formation energy: -2.318 eV per atom. As for the space group: Cmc2_1 (36).

POSCAR file:
```
Na2CaNb4Bi2O15
1.0
-0.375 -0.913 -5.445
2.107 -5.163 0.721
-18.993 -7.011 5.296
Na Ca Nb Bi O
4 2 8 4 30
Cartesian
-14.056 -8.425 3.761 Na
-2.916 -4.471 -0.481 Na
-4.153 -2.338 -3.514 Na
-15.294 -6.291 0.728 Na
-0.229 -0.804 -4.042 Ca
1.008 -2.937 -1.008 Ca
-16.195 -9.835 1.330 Nb
-1.017 -4.310 -3.454 Nb
-1.878 -1.263 -1.036 Nb
-17.057 -6.788 3.748 Nb
-12.488 -8.264 0.820 Nb
-4.812 -5.659 -2.958 Nb
-5.675 -2.615 -0.557 Nb
-13.351 -5.219 3.221 Nb
-9.718 -6.257 3.288 Bi
-7.548 -5.796 0.249 Bi
-6.704 -8.886 -2.430 Bi
-8.874 -9.348 0.609 Bi
-16.051 -10.974 3.194 O
0.067 -5.083 -1.717 O
-1.019 -2.582 -2.557 O
-17.138 -8.473 2.353 O
-14.438 -9.187 1.524 O
-2.651 -4.982 -2.805 O
-3.570 -2.072 -1.208 O
-15.356 -6.277 3.121 O
-8.231 -7.961 -0.987 O
-8.075 -7.517 1.740 O
-9.118 -4.910 1.528 O
-9.274 -5.355 -1.199 O
0.171 -0.724 -0.826 O
0.974 -3.915 -4.099 O
-12.520 -10.009 -0.400 O
-3.532 -6.126 1.142 O
-4.568 -3.503 1.030 O
-13.556 -7.386 -0.512 O
-10.767 -7.790 0.193 O
-6.118 -5.597 2.317 O
-7.299 -3.326 0.104 O
-11.948 -5.519 -2.021 O
-11.705 -9.593 2.248 O
-4.155 -7.037 -1.512 O
-5.186 -4.402 -1.550 O
-12.736 -6.958 2.210 O
-15.442 -11.683 0.537 O
-0.503 -6.251 -4.215 O
-1.225 -2.862 0.238 O
-16.164 -8.294 4.990 O
```

[6]
DFT (PBE) results for a relaxed SiHgSb3 crystal.

As for the raw formation energy: 0.573 eV per atom. As for the energy above the most stable polymorph in this dataset: 0 meV per atom. As for the space group: Pm-3m (221).

POSCAR file:
```
SiHgSb3
1.0
5.270 0.000 0.000
0.000 5.270 0.000
0.000 0.000 5.270
Sb Si Hg
3 1 1
Cartesian
0.000 2.635 0.000 Sb
0.000 0.000 2.635 Sb
2.635 0.000 0.000 Sb
0.000 0.000 0.000 Si
2.635 2.635 2.635 Hg
```

[7]
DFT (PBE) results for a relaxed CePmRh2 crystal.

As for the energy above the most stable polymorph in this dataset: 68 meV per atom. As for the space group: Fm-3m (225). The formation energy is -0.67 eV/atom.

POSCAR file:
```
CePmRh2
1.0
4.953 0.000 0.000
2.477 4.290 0.000
2.477 1.430 4.044
Rh Ce Pm
2 1 1
Cartesian
2.477 1.430 1.011 Rh
7.430 4.290 3.033 Rh
4.953 2.860 2.022 Ce
0.000 0.000 0.000 Pm
```

[8]
DFT (PBE) results for a relaxed LiPmSeI crystal.

As for the raw formation energy: -1.353 eV per atom. As for the space group: R3m (160).

POSCAR file:
```
LiPmSeI
1.0
-3.780 0.528 1.559
-3.305 -0.370 -2.437
-2.723 -7.271 1.311
Li Pm Se I
1 1 1 1
Cartesian
-2.574 -4.243 0.648 Li
-4.805 -1.539 -0.225 Pm
-7.253 -3.228 -0.137 Se
-5.063 -6.768 0.919 I
```

[9]
DFT (PBE) results for a relaxed Tm6InPt2 crystal.

As for the space group: Immm (71). The formation energy is -0.77 eV/atom.

POSCAR file:
```
Tm6InPt2
1.0
-2.022 -7.927 -2.132
7.537 0.604 3.783
-5.455 3.094 5.670
Tm In Pt
12 2 4
Cartesian
-0.170 -1.220 6.194 Tm
0.229 -3.009 1.127 Tm
-2.486 1.856 5.500 Tm
2.545 -6.085 1.820 Tm
1.083 -4.126 4.359 Tm
-1.023 -0.103 2.961 Tm
0.070 1.840 7.927 Tm
-0.011 -6.069 -0.606 Tm
-2.292 -3.242 3.699 Tm
2.351 -0.987 3.621 Tm
3.057 0.267 6.827 Tm
-2.998 -4.496 0.493 Tm
1.041 1.849 4.726 In
0.000 0.000 0.000 In
-2.980 -1.068 5.215 Pt
3.039 -3.161 2.105 Pt
-4.942 -3.194 2.338 Pt
-2.535 -1.639 1.199 Pt
```

[10]
DFT (PBE) results for a relaxed YErLu crystal.

As for the energy above the most stable polymorph in this dataset: 49 meV per atom. As for the space group: P3m1 (156). The formation energy is 0.08 eV/atom.

POSCAR file:
```
YErLu
1.0
-1.164 2.930 1.457
1.647 -1.815 4.967
3.464 2.948 -3.160
Y Lu Er
1 1 1
Cartesian
1.477 1.726 3.229 Y
-0.192 0.484 0.241 Lu
2.663 1.853 -0.206 Er
```

[11]
DFT (PBE) results for a relaxed Ba2LiTlZn crystal.

As for the space group: P4/mmm (123). The formation energy is -0.04 eV/atom.

POSCAR file:
```
Ba2LiTlZn
1.0
6.422 0.000 0.000
0.000 6.422 0.000
0.000 0.000 4.803
Zn Tl Ba Li
1 1 2 1
Cartesian
0.000 0.000 0.000 Zn
3.211 3.211 2.402 Tl
0.000 3.211 0.000 Ba
3.211 0.000 0.000 Ba
0.000 0.000 2.402 Li
```

[12]
DFT (PBE) results for a relaxed Na2ZnSbAu6 crystal.

As for the raw formation energy: 0.010 eV per atom. As for the space group: Fm-3m (225).

POSCAR file:
```
Na2ZnSbAu6
1.0
-4.237 5.855 -0.126
-3.543 -2.439 5.809
-0.593 4.159 5.882
Na Zn Sb Au
2 1 1 6
Cartesian
-4.013 1.714 7.267 Na
-4.360 5.861 4.299 Na
-3.890 1.708 2.842 Zn
0.000 0.000 0.000 Sb
-3.723 -0.285 4.268 Au
-5.759 2.528 4.208 Au
-2.305 2.886 4.303 Au
-4.057 3.701 1.416 Au
-2.020 0.887 1.476 Au
-6.067 4.689 7.263 Au
```

[13]
DFT (PBE) results for a relaxed MoHI3 crystal.

As for the energy above the most stable polymorph in this dataset: 603 meV per atom. As for the space group: Pm-3m (221).

POSCAR file:
```
MoHI3
1.0
-2.014 -3.518 3.093
-0.841 -3.040 -4.006
4.608 -2.093 0.621
I H Mo
3 1 1
Cartesian
-0.421 -1.520 -2.003 I
2.304 -1.046 0.310 I
-1.007 -1.759 1.546 I
0.000 0.000 0.000 H
0.876 -4.326 -0.147 Mo
```

[14]
DFT (PBE) results for a relaxed NaCd2 crystal.

As for the space group: Fd-3m (227). The formation energy is -0.13 eV/atom.

POSCAR file:
```
NaCd2
1.0
5.995 0.000 0.000
2.998 5.192 0.000
2.998 1.731 4.895
Na Cd
2 4
Cartesian
0.000 0.000 0.000 Na
2.998 1.731 1.224 Na
4.497 4.327 3.060 Cd
5.995 1.731 3.060 Cd
7.494 4.327 3.060 Cd
5.995 3.461 0.612 Cd
```

[15]
DFT (PBE) results for a relaxed RbSe2NCl crystal.

As for the raw formation energy: 1.847 eV per atom. As for the energy above the most stable polymorph in this dataset: 974 meV per atom. As for the space group: P4/mmm (123).

POSCAR file:
```
RbSe2NCl
1.0
6.614 0.000 0.000
0.000 6.614 0.000
0.000 0.000 4.851
N Se Rb Cl
1 2 1 1
Cartesian
0.000 0.000 2.425 N
0.000 3.307 0.000 Se
3.307 0.000 0.000 Se
0.000 0.000 0.000 Rb
3.307 3.307 2.425 Cl
```

[16]
DFT (PBE) results for a relaxed Er2InAu crystal.

As for the space group: R-3m (166). The formation energy is -0.50 eV/atom.

POSCAR file:
```
Er2InAu
1.0
-3.517 0.446 1.375
-2.842 -2.158 -1.312
-0.475 -6.453 6.133
In Au Er
1 1 2
Cartesian
-3.417 -4.082 3.098 In
0.000 0.000 0.000 Au
-1.754 -1.880 1.381 Er
-5.081 -6.285 4.815 Er
```

[17]
DFT (PBE) results for a relaxed Co3SiH crystal.

As for the energy above the most stable polymorph in this dataset: 535 meV per atom. As for the space group: R3m (160).

POSCAR file:
```
Co3SiH
1.0
3.771 0.000 1.403
-1.886 3.266 1.403
-1.886 -3.266 1.403
H Si Co
1 1 3
Cartesian
0.000 0.000 4.149 H
0.000 0.000 1.601 Si
1.130 -1.958 2.116 Co
-2.260 0.000 2.116 Co
1.130 1.958 2.116 Co
```

[18]
DFT (PBE) results for a relaxed Cr2Te6As crystal.

As for the raw formation energy: -0.109 eV per atom. As for the space group: P-31m (162).

POSCAR file:
```
Cr2Te6As
1.0
5.786 0.000 0.000
0.000 6.032 -3.482
0.000 0.000 6.965
Cr Te As
2 6 1
Cartesian
2.893 2.010 3.482 Cr
2.893 4.021 0.000 Cr
1.410 3.898 4.714 Te
1.410 2.134 1.232 Te
1.410 0.000 4.501 Te
4.377 2.134 -1.232 Te
4.377 3.898 2.250 Te
4.377 6.031 -1.018 Te
2.893 0.000 0.000 As
```

no.,volume (Å³/atom),density of states at the Fermi level (states/eV per atom)
1,21.3,1.12
2,14.4,1.09
3,97.6,0.76
4,18.0,0.27
5,13.4,0.00
6,29.3,0.96
7,21.5,1.18
8,27.6,0.45
9,25.7,0.87
10,30.8,2.08
11,39.6,0.89
12,26.7,0.16
13,26.5,1.10
14,25.4,0.31
15,42.4,2.59
16,27.0,0.99
17,10.4,1.32
18,27.0,0.71